one:
## BeFeBOs (PBE-GGA)

Data for a relaxed structure of BeFeBOs.

Calculated values
Calculated volume (Å³ per cell): 38

a b c (Å): 3.7810 3.7810 3.7810
angles (deg): 60.00 60.00 60.00
With the nearest neighbours (Å) after each atom.
Atoms (fractional coordinates):
Be: 0.0000 0.0000 0.0000  4 Fe 2.32, 4 Os 2.32
Fe: 0.2500 0.2500 0.2500  4 Be 2.32, 4 B 2.32
B: 0.5000 0.5000 0.5000  4 Fe 2.32, 4 Os 2.32
Os: 0.7500 0.7500 0.7500  4 Be 2.32, 4 B 2.32

---

two:
## BeFeBOs (PBE-GGA)

Data for a relaxed structure of BeFeBOs.

Calculated values
Calculated volume (Å³ per cell): 41

a b c (Å): 3.8611 3.8611 3.8611
angles (deg): 60.00 60.00 60.00
With the nearest neighbours (Å) after each atom.
Atoms (fractional coordinates):
Be: 0.0000 0.0000 0.0000  4 Os 2.36, 4 B 2.36
Fe: 0.5000 0.5000 0.5000  4 Os 2.36, 4 B 2.36
B: 0.2500 0.2500 0.2500  4 Fe 2.36, 4 Be 2.36
Os: 0.7500 0.7500 0.7500  4 Fe 2.36, 4 Be 2.36

---

So which one is most stable? That would be one, about 492 meV per atom below the next structure.

---

one:
## BeFeBPt (PBE-GGA)

Data for a relaxed structure of BeFeBPt.

Calculated values
Calculated volume (Å³ per cell): 43

a b c (Å): 3.9469 3.9469 3.9469
angles (deg): 60.00 60.00 60.00
With the nearest neighbours (Å) after each atom.
Atoms (fractional coordinates):
Be: 0.0000 0.0000 0.0000  4 Pt 2.42, 4 B 2.42
Fe: 0.5000 0.5000 0.5000  4 B 2.42, 4 Pt 2.42
B: 0.2500 0.2500 0.2500  4 Fe 2.42, 4 Be 2.42
Pt: 0.7500 0.7500 0.7500  4 Be 2.42, 4 Fe 2.42

---

two:
## BeFeBPt (PBE-GGA)

Data for a relaxed structure of BeFeBPt.

Calculated values
Calculated volume (Å³ per cell): 38

a b c (Å): 3.7860 3.7860 3.7860
angles (deg): 60.00 60.00 60.00
With the nearest neighbours (Å) after each atom.
Atoms (fractional coordinates):
Be: 0.0000 0.0000 0.0000  4 Fe 2.32, 4 Pt 2.32
Fe: 0.7500 0.7500 0.7500  4 B 2.32, 4 Be 2.32
B: 0.5000 0.5000 0.5000  4 Fe 2.32, 4 Pt 2.32
Pt: 0.2500 0.2500 0.2500  4 Be 2.32, 4 B 2.32

---

So which one is most stable? That would be two, about 552 meV per atom below the next structure.

---

one:
## BeFeBSb (PBE-GGA)

Data for a relaxed structure of BeFeBSb.

Calculated values
Calculated volume (Å³ per cell): 49

a b c (Å): 4.1071 4.1071 4.1071
angles (deg): 60.00 60.00 60.00
With the nearest neighbours (Å) after each atom.
Atoms (fractional coordinates):
Be: 0.0000 0.0000 0.0000  4 Sb 2.52, 4 Fe 2.52
Fe: 0.2500 0.2500 0.2500  4 Be 2.52, 4 B 2.52
B: 0.5000 0.5000 0.5000  4 Fe 2.52, 4 Sb 2.52
Sb: 0.7500 0.7500 0.7500  4 Be 2.52, 4 B 2.52

---

two:
## BeFeBSb (PBE-GGA)

Data for a relaxed structure of BeFeBSb.

Calculated values
Calculated volume (Å³ per cell): 49

a b c (Å): 4.0988 4.0988 4.0988
angles (deg): 60.00 60.00 60.00
With the nearest neighbours (Å) after each atom.
Atoms (fractional coordinates):
Be: 0.0000 0.0000 0.0000  4 Sb 2.51, 4 B 2.51
Fe: 0.5000 0.5000 0.5000  4 Sb 2.51, 4 B 2.51
B: 0.2500 0.2500 0.2500  4 Fe 2.51, 4 Be 2.51
Sb: 0.7500 0.7500 0.7500  4 Fe 2.51, 4 Be 2.51

---

So which one is most stable? That would be two, about 67 meV per atom below the next structure.